Below is crystalline Co3Pt13 at its relaxed geometry, with properties calculated at the PBE-GGA level.

Summary:
crystal system: orthorhombic
calculated formation energy: -0.009 eV/atom
total energy: -6.25 eV per atom

abc: 5.5404 9.1353 9.5071
angles: 90.00 90.00 90.00
Last column: nearest neighbours and their distance in Å.
Space group Amm2 (No. 38)
Unique sites:
Co1 0.0000 0.0000 0.0000 (multiplicity 2)  2 Co 2.63, 10 Pt 2.70-2.86
Co2 0.2336 0.0000 0.7594 (multiplicity 4)  2 Co 2.59-2.63, 9 Pt 2.67-2.78
Pt1 0.0000 0.0000 0.5106 (multiplicity 2)  2 Co 2.70, 10 Pt 2.72-2.85
Pt2 0.0000 0.2447 0.6740 (multiplicity 4)  3 Co 2.71-2.86, 9 Pt 2.72-2.80
Pt3 0.2475 0.2414 0.9240 (multiplicity 8)  10 Pt 2.69-2.89, 2 Co 2.70-2.71
Pt4 0.2495 0.0000 0.2494 (multiplicity 4)  1 Co 2.74, 11 Pt 2.76-2.89
Pt5 0.5000 0.0000 0.5117 (multiplicity 2)  10 Pt 2.70-2.87, 2 Co 2.78
Pt6 0.5000 0.0000 0.9934 (multiplicity 2)  4 Co 2.67-2.77, 8 Pt 2.69-2.95
Pt7 0.5000 0.2400 0.6766 (multiplicity 4)  10 Pt 2.70-2.95, 2 Co 2.76